DFT (meta-GGA SCAN) results for Sm3Os at its PBEsol-relaxed geometry.

Output
Size of the total moment = 0.000 Bohr magnetons per cell
Formation energy from the elements = -0.262 eV/atom

Lattice parameters (Å, degrees): 7.3573 9.2454 6.3328 90.00 90.00 90.00
Closest atoms and distances in Å follow each position.
Space group Pnma (No. 62)
Unique sites:
Sm1 0.0398 0.2500 0.1346 (multiplicity 4)  2 Os 2.80-2.86
Sm2 0.1763 0.0638 0.6679 (multiplicity 8)  2 Os 2.85-2.92
Os1 0.1146 0.7500 0.4514 (multiplicity 4)  6 Sm 2.80-2.92